1.
# Tl3VHg | Alexandria | PBE | optimized geometry
data_Tl3VHg
_chemical_formula_sum 'Tl3 V1 Hg1'
_symmetry_space_group_name_H-M 'P m -3 m'
_symmetry_Int_Tables_number 221
_symmetry_space_group_name_Hall '-P 4 2 3'
_cell_length_a 5.462
_cell_length_b 5.462
_cell_length_c 5.462
_cell_angle_alpha 90.00
_cell_angle_beta 90.00
_cell_angle_gamma 90.00
loop_
_atom_site_label
_atom_site_fract_x
_atom_site_fract_y
_atom_site_fract_z
Tl1 0.000 0.000 0.500
V1 0.000 0.000 0.000
Hg1 0.500 0.500 0.500
# - Density: 8.810 g/cm3



2.
# Tl3VHg | Alexandria | PBE | optimized geometry
data_Tl3VHg
_chemical_formula_sum 'Tl3 V1 Hg1'
_symmetry_space_group_name_H-M 'P m -3 m'
_symmetry_Int_Tables_number 221
_symmetry_space_group_name_Hall '-P 4 2 3'
_cell_length_a 5.670
_cell_length_b 5.670
_cell_length_c 5.670
_cell_angle_alpha 90.00
_cell_angle_beta 90.00
_cell_angle_gamma 90.00
loop_
_atom_site_label
_atom_site_fract_x
_atom_site_fract_y
_atom_site_fract_z
Tl1 0.000 0.000 0.500
V1 0.500 0.500 0.500
Hg1 0.000 0.000 0.000
# - Density: 7.878 g/cm3



Which structure is the most stable? The one labeled 1.



1.
# TlHg2W | Alexandria | PBE | optimized geometry
data_TlHg2W
_chemical_formula_sum 'Tl1 Hg2 W1'
_symmetry_space_group_name_H-M 'P 1 2/m 1'
_symmetry_Int_Tables_number 10
_symmetry_space_group_name_Hall '-P 2y'
_cell_length_a 3.029
_cell_length_b 5.026
_cell_length_c 5.871
_cell_angle_alpha 90.00
_cell_angle_beta 101.41
_cell_angle_gamma 90.00
loop_
_atom_site_label
_atom_site_fract_x
_atom_site_fract_y
_atom_site_fract_z
Tl1 0.000 0.000 0.000
Hg1 0.371 0.500 0.725
W1 0.000 0.000 0.500
# - Density: 14.962 g/cm3



2.
# TlHg2W | Alexandria | PBE | optimized geometry
data_TlHg2W
_chemical_formula_sum 'Tl2 Hg4 W2'
_symmetry_space_group_name_H-M 'I m m 2'
_symmetry_Int_Tables_number 44
_symmetry_space_group_name_Hall 'I 2 -2'
_cell_length_a 2.852
_cell_length_b 4.982
_cell_length_c 14.153
_cell_angle_alpha 90.00
_cell_angle_beta 90.00
_cell_angle_gamma 90.00
loop_
_atom_site_label
_atom_site_fract_x
_atom_site_fract_y
_atom_site_fract_z
Tl1 0.000 0.000 0.000
Hg1 0.000 0.000 0.363
Hg2 0.000 0.500 0.184
W1 0.000 0.500 0.685
# - Density: 13.036 g/cm3



Which structure is the most stable? The one labeled 2.



1.
# TlHgW | Alexandria | PBE | optimized geometry
data_TlHgW
_chemical_formula_sum 'Tl1 Hg1 W1'
_symmetry_space_group_name_H-M 'P 3 m 1'
_symmetry_Int_Tables_number 156
_symmetry_space_group_name_Hall 'P 3 -2"'
_cell_length_a 3.0562
_cell_length_b 3.0562
_cell_length_c 7.7621
_cell_angle_alpha 90.00
_cell_angle_beta 90.00
_cell_angle_gamma 120.00
loop_
_atom_site_label
_atom_site_fract_x
_atom_site_fract_y
_atom_site_fract_z
Tl1 0.0000 0.0000 0.0000
Hg1 0.3333 0.6667 0.6320
W1 0.6667 0.3333 0.3251
# - Density: 15.573 g/cm3



2.
# TlHgW | Alexandria | PBE | optimized geometry
data_TlHgW
_chemical_formula_sum 'Tl2 Hg2 W2'
_symmetry_space_group_name_H-M 'I 4 m m'
_symmetry_Int_Tables_number 107
_symmetry_space_group_name_Hall 'I 4 -2'
_cell_length_a 2.924
_cell_length_b 2.924
_cell_length_c 15.361
_cell_angle_alpha 90.00
_cell_angle_beta 90.00
_cell_angle_gamma 90.00
loop_
_atom_site_label
_atom_site_fract_x
_atom_site_fract_y
_atom_site_fract_z
Tl1 0.000 0.000 0.000
Hg1 0.000 0.000 0.699
W1 0.000 0.000 0.339
# - Density: 14.894 g/cm3



3.
# TlHgW | Alexandria | PBE | optimized geometry
data_TlHgW
_chemical_formula_sum 'Tl2 Hg2 W2'
_symmetry_space_group_name_H-M 'I m m 2'
_symmetry_Int_Tables_number 44
_symmetry_space_group_name_Hall 'I 2 -2'
_cell_length_a 2.929
_cell_length_b 4.277
_cell_length_c 10.172
_cell_angle_alpha 90.00
_cell_angle_beta 90.00
_cell_angle_gamma 90.00
loop_
_atom_site_label
_atom_site_fract_x
_atom_site_fract_y
_atom_site_fract_z
Tl1 0.000 0.000 0.000
Hg1 0.000 0.000 0.307
W1 0.000 0.000 0.672
# - Density: 15.346 g/cm3



4.
# TlHgW | Alexandria | PBE | optimized geometry
data_TlHgW
_chemical_formula_sum 'Tl4 Hg4 W4'
_symmetry_space_group_name_H-M 'F m m 2'
_symmetry_Int_Tables_number 42
_symmetry_space_group_name_Hall 'F 2 -2'
_cell_length_a 3.203
_cell_length_b 5.135
_cell_length_c 15.363
_cell_angle_alpha 90.00
_cell_angle_beta 90.00
_cell_angle_gamma 90.00
loop_
_atom_site_label
_atom_site_fract_x
_atom_site_fract_y
_atom_site_fract_z
Tl1 0.000 0.000 0.000
Hg1 0.000 0.000 0.318
W1 0.000 0.000 0.663
# - Density: 15.476 g/cm3



Which structure is the most stable? The one labeled 1.



1.
# YTlHg | Alexandria | PBE | optimized geometry
data_YTlHg
_chemical_formula_sum 'Y2 Tl2 Hg2'
_symmetry_space_group_name_H-M 'P -1'
_symmetry_Int_Tables_number 2
_symmetry_space_group_name_Hall '-P 1'
_cell_length_a 5.261
_cell_length_b 5.261
_cell_length_c 6.490
_cell_angle_alpha 90.00
_cell_angle_beta 89.96
_cell_angle_gamma 60.09
loop_
_atom_site_label
_atom_site_fract_x
_atom_site_fract_y
_atom_site_fract_z
Y1 0.167 0.167 0.249
Tl1 0.500 0.500 0.000
Tl2 0.500 0.500 0.500
Hg1 0.168 0.166 0.749
# - Density: 10.534 g/cm3



2.
# YTlHg | Alexandria | PBE | optimized geometry
data_YTlHg
_chemical_formula_sum 'Y2 Tl2 Hg2'
_symmetry_space_group_name_H-M 'P -1'
_symmetry_Int_Tables_number 2
_symmetry_space_group_name_Hall '-P 1'
_cell_length_a 4.535
_cell_length_b 4.669
_cell_length_c 7.814
_cell_angle_alpha 89.94
_cell_angle_beta 73.23
_cell_angle_gamma 89.85
loop_
_atom_site_label
_atom_site_fract_x
_atom_site_fract_y
_atom_site_fract_z
Y1 0.152 0.000 0.195
Tl1 0.324 0.500 0.851
Hg1 0.000 0.500 0.500
Hg2 0.500 0.000 0.500
# - Density: 10.353 g/cm3



Which structure is the most stable? The one labeled 1.



1.
# YTlHg | Alexandria | PBE | optimized geometry
data_YTlHg
_chemical_formula_sum 'Y2 Tl2 Hg2'
_symmetry_space_group_name_H-M 'I 4 m m'
_symmetry_Int_Tables_number 107
_symmetry_space_group_name_Hall 'I 4 -2'
_cell_length_a 3.613
_cell_length_b 3.613
_cell_length_c 12.089
_cell_angle_alpha 90.00
_cell_angle_beta 90.00
_cell_angle_gamma 90.00
loop_
_atom_site_label
_atom_site_fract_x
_atom_site_fract_y
_atom_site_fract_z
Y1 0.000 0.000 0.000
Tl1 0.000 0.000 0.321
Hg1 0.000 0.000 0.655
# - Density: 10.393 g/cm3



2.
# YTlHg | Alexandria | PBE | optimized geometry
data_YTlHg
_chemical_formula_sum 'Y4 Tl4 Hg4'
_symmetry_space_group_name_H-M 'C 1 m 1'
_symmetry_Int_Tables_number 8
_symmetry_space_group_name_Hall 'C -2y'
_cell_length_a 10.009
_cell_length_b 4.895
_cell_length_c 6.550
_cell_angle_alpha 90.00
_cell_angle_beta 101.27
_cell_angle_gamma 90.00
loop_
_atom_site_label
_atom_site_fract_x
_atom_site_fract_y
_atom_site_fract_z
Y1 0.000 0.000 0.000
Y2 0.184 0.500 0.397
Tl1 0.007 0.000 0.502
Tl2 0.339 0.000 0.712
Hg1 0.176 0.500 0.905
Hg2 0.342 0.000 0.206
# - Density: 10.422 g/cm3



Which structure is the most stable? The one labeled 2.